1.
DFT (PBE) results for crystalline Na2NbCu at its relaxed geometry.

Summary:
Calculated total energy   -49.40 eV for the cell shown
Fermi-level density of states   15.81 states/eV/cell
Size of the total moment   12.9 μB per cell
Offset from the most stable computed form   0 meV/atom
DFT formation energy   107 kJ per mole of atoms
Calculated volume   372.7 Å³/cell

Geometry as CIF:
```
data_Na2NbCu
_chemical_formula_sum 'Na8 Nb4 Cu4'
_space_group_name_H-M_alt 'I -4 2 d'
_space_group_IT_number 122
_space_group_name_Hall 'I -4 2bw'
_cell_length_a 8.320
_cell_length_b 8.320
_cell_length_c 5.385
_cell_angle_alpha 90.00
_cell_angle_beta 90.00
_cell_angle_gamma 90.00
loop_
_atom_site_label
_atom_site_type_symbol
_atom_site_fract_x
_atom_site_fract_y
_atom_site_fract_z
Na1 Na 0.201 0.250 0.125
Nb1 Nb 0.000 0.000 0.500
Cu1 Cu 0.000 0.000 0.000
```



2.
DFT (PBE) results for crystalline LaCoIr2 at its relaxed geometry.

Summary:
Calculated total energy   -29.65 eV for the cell shown
Fermi-level density of states   4.80 states/eV/cell
Size of the total moment   0.8 μB per cell
DFT formation energy   3 kJ per mole of atoms
Calculated volume   70.2 Å³/cell

Geometry as CIF:
```
data_LaCoIr2
_chemical_formula_sum 'La1 Co1 Ir2'
_space_group_name_H-M_alt 'P 1 m 1'
_space_group_IT_number 6
_cell_length_a 2.923
_cell_length_b 4.384
_cell_length_c 5.585
_cell_angle_alpha 90.00
_cell_angle_beta 101.33
_cell_angle_gamma 90.00
loop_
_space_group_symop_operation_xyz
'x,y,z'
'x,-y,z'
loop_
_atom_site_label
_atom_site_type_symbol
_atom_site_fract_x
_atom_site_fract_y
_atom_site_fract_z
La1 La 0.000 0.000 0.000
Co1 Co 0.564 0.500 0.239
Ir1 Ir 0.208 0.500 0.615
Ir2 Ir 0.638 0.000 0.490
```



3.
DFT (PBE) results for crystalline Tl5Hg2Se5 at its relaxed geometry.

Summary:
Formation energy (no corrections)   -3.44 eV/f.u.
Calculated total energy   -66.59 eV for the cell shown
Fermi-level density of states   7.02 states/eV/cell
Size of the total moment   0.0 μB per cell
Calculated volume   748.3 Å³/cell

Geometry as CIF:
```
data_Tl5Hg2Se5
_chemical_formula_sum 'Tl10 Hg4 Se10'
_space_group_name_H-M_alt 'C 1 2/m 1'
_space_group_IT_number 12
_cell_length_a 14.910
_cell_length_b 4.454
_cell_length_c 11.907
_cell_angle_alpha 90.00
_cell_angle_beta 108.85
_cell_angle_gamma 90.00
loop_
_space_group_symop_operation_xyz
'x,y,z'
'-x,-y,-z'
'-x,y,-z'
'x,-y,z'
'x+1/2,y+1/2,z'
'-x+1/2,-y+1/2,-z'
'-x+1/2,y+1/2,-z'
'x+1/2,-y+1/2,z'
loop_
_atom_site_label
_atom_site_type_symbol
_atom_site_fract_x
_atom_site_fract_y
_atom_site_fract_z
Tl1 Tl 0.000 0.000 0.000
Tl2 Tl 0.151 0.000 0.550
Tl3 Tl 0.235 0.000 0.845
Hg1 Hg 0.040 0.500 0.280
Se1 Se 0.000 0.500 0.500
Se2 Se 0.119 0.500 0.909
Se3 Se 0.147 0.000 0.289
```



4.
DFT (PBE) results for crystalline TlMo2Pb at its relaxed geometry.

Summary:
Calculated total energy   -26.09 eV for the cell shown
Fermi-level density of states   2.97 states/eV/cell
Size of the total moment   0.0 μB per cell
Offset from the most stable computed form   0 meV/atom
DFT formation energy   40 kJ per mole of atoms
Calculated volume   89.0 Å³/cell

Geometry as CIF:
```
data_TlMo2Pb
_chemical_formula_sum 'Tl1 Mo2 Pb1'
_space_group_name_H-M_alt 'P 4 m m'
_space_group_IT_number 99
_cell_length_a 3.268
_cell_length_b 3.268
_cell_length_c 8.334
_cell_angle_alpha 90.00
_cell_angle_beta 90.00
_cell_angle_gamma 90.00
loop_
_space_group_symop_operation_xyz
'x,y,z'
'-y,x,z'
'-x,-y,z'
'y,-x,z'
'-x,y,z'
'y,x,z'
'x,-y,z'
'-y,-x,z'
loop_
_atom_site_label
_atom_site_type_symbol
_atom_site_fract_x
_atom_site_fract_y
_atom_site_fract_z
Tl1 Tl 0.000 0.000 0.000
Mo1 Mo 0.000 0.000 0.396
Mo2 Mo 0.500 0.500 0.245
Pb1 Pb 0.500 0.500 0.647
```



5.
DFT (PBE) results for crystalline Co3PI at its relaxed geometry.

Summary:
Formation energy (no corrections)   2.55 eV/f.u.
Calculated total energy   -25.73 eV for the cell shown
Fermi-level density of states   5.86 states/eV/cell
Size of the total moment   1.2 μB per cell
Offset from the most stable computed form   0 meV/atom
Calculated volume   77.8 Å³/cell

Geometry as CIF:
```
data_Co3PI
_chemical_formula_sum 'Co3 P1 I1'
_space_group_name_H-M_alt 'P m -3 m'
_space_group_IT_number 221
_space_group_name_Hall '-P 4 2 3'
_cell_length_a 4.269
_cell_length_b 4.269
_cell_length_c 4.269
_cell_angle_alpha 90.00
_cell_angle_beta 90.00
_cell_angle_gamma 90.00
loop_
_atom_site_label
_atom_site_type_symbol
_atom_site_fract_x
_atom_site_fract_y
_atom_site_fract_z
Co1 Co 0.000 0.000 0.500
P1 P 0.000 0.000 0.000
I1 I 0.500 0.500 0.500
```



6.
DFT (PBE) results for crystalline Ti6Fe2Pd at its relaxed geometry.

Summary:
Calculated total energy   -285.97 eV for the cell shown
Fermi-level density of states   38.73 states/eV/cell
Size of the total moment   0.0 μB per cell
DFT formation energy   -21 kJ per mole of atoms
Calculated volume   561.6 Å³/cell

Geometry as CIF:
```
data_Ti6Fe2Pd
_chemical_formula_sum 'Ti24 Fe8 Pd4'
_space_group_name_H-M_alt 'I m m m'
_space_group_IT_number 71
_space_group_name_Hall '-I 2 2'
_cell_length_a 7.877
_cell_length_b 8.158
_cell_length_c 8.739
_cell_angle_alpha 90.00
_cell_angle_beta 90.00
_cell_angle_gamma 90.00
loop_
_atom_site_label
_atom_site_type_symbol
_atom_site_fract_x
_atom_site_fract_y
_atom_site_fract_z
Ti1 Ti 0.000 0.213 0.229
Ti2 Ti 0.200 0.314 0.500
Ti3 Ti 0.215 0.500 0.174
Fe1 Fe 0.000 0.344 0.000
Fe2 Fe 0.000 0.500 0.355
Pd1 Pd 0.000 0.000 0.000
Pd2 Pd 0.000 0.000 0.500
```



7.
DFT (PBE) results for crystalline Y2SiAg at its relaxed geometry.

Summary:
Formation energy (no corrections)   -0.39 eV/f.u.
Calculated total energy   -21.59 eV for the cell shown
Fermi-level density of states   2.58 states/eV/cell
Size of the total moment   0.0 μB per cell
Calculated volume   96.1 Å³/cell

Geometry as CIF:
```
data_Y2SiAg
_chemical_formula_sum 'Y2 Si1 Ag1'
_space_group_name_H-M_alt 'P 4 m m'
_space_group_IT_number 99
_cell_length_a 3.448
_cell_length_b 3.448
_cell_length_c 8.081
_cell_angle_alpha 90.00
_cell_angle_beta 90.00
_cell_angle_gamma 90.00
loop_
_space_group_symop_operation_xyz
'x,y,z'
'-y,x,z'
'-x,-y,z'
'y,-x,z'
'-x,y,z'
'y,x,z'
'x,-y,z'
'-y,-x,z'
loop_
_atom_site_label
_atom_site_type_symbol
_atom_site_fract_x
_atom_site_fract_y
_atom_site_fract_z
Y1 Y 0.000 0.000 0.000
Y2 Y 0.500 0.500 0.354
Si1 Si 0.500 0.500 0.766
Ag1 Ag 0.000 0.000 0.593
```



8.
DFT (PBE) results for crystalline Tm2FeGe4 at its relaxed geometry.

Summary:
Calculated total energy   -74.69 eV for the cell shown
Fermi-level density of states   10.49 states/eV/cell
Size of the total moment   2.7 μB per cell
Offset from the most stable computed form   344 meV/atom
DFT formation energy   -20 kJ per mole of atoms
Calculated volume   292.9 Å³/cell

Geometry as CIF:
```
data_Tm2FeGe4
_chemical_formula_sum 'Tm4 Fe2 Ge8'
_space_group_name_H-M_alt 'I 4/m m m'
_space_group_IT_number 139
_space_group_name_Hall '-I 4 2'
_cell_length_a 4.437
_cell_length_b 4.437
_cell_length_c 14.880
_cell_angle_alpha 90.00
_cell_angle_beta 90.00
_cell_angle_gamma 90.00
loop_
_atom_site_label
_atom_site_type_symbol
_atom_site_fract_x
_atom_site_fract_y
_atom_site_fract_z
Tm1 Tm 0.000 0.000 0.149
Fe1 Fe 0.000 0.000 0.500
Ge1 Ge 0.000 0.000 0.335
Ge2 Ge 0.000 0.500 0.000
```



9.
DFT (PBE) results for crystalline Li7Tl3Ga at its relaxed geometry.

Summary:
Calculated total energy   -100.67 eV for the cell shown
Fermi-level density of states   15.35 states/eV/cell
Size of the total moment   0.0 μB per cell
DFT formation energy   -14 kJ per mole of atoms
Calculated volume   892.4 Å³/cell

Geometry as CIF:
```
data_Li7Tl3Ga
_chemical_formula_sum 'Li28 Tl12 Ga4'
_space_group_name_H-M_alt 'C m c m'
_space_group_IT_number 63
_space_group_name_Hall '-C 2c 2'
_cell_length_a 3.011
_cell_length_b 19.450
_cell_length_c 15.241
_cell_angle_alpha 90.00
_cell_angle_beta 90.00
_cell_angle_gamma 90.00
loop_
_atom_site_label
_atom_site_type_symbol
_atom_site_fract_x
_atom_site_fract_y
_atom_site_fract_z
Li1 Li 0.000 0.012 0.097
Li2 Li 0.000 0.115 0.250
Li3 Li 0.000 0.117 0.663
Li4 Li 0.000 0.247 0.585
Tl1 Tl 0.000 0.267 0.250
Tl2 Tl 0.000 0.380 0.506
Ga1 Ga 0.000 0.486 0.250
```



10.
DFT (PBE) results for crystalline Co21Ge2B6 at its relaxed geometry.

Summary:
Calculated total energy   -818.13 eV for the cell shown
Fermi-level density of states   137.92 states/eV/cell
Size of the total moment   79.7 μB per cell
DFT formation energy   -20 kJ per mole of atoms
Calculated volume   1138.8 Å³/cell

Geometry as CIF:
```
data_Co21Ge2B6
_chemical_formula_sum 'Co84 Ge8 B24'
_space_group_name_H-M_alt 'F m -3 m'
_space_group_IT_number 225
_space_group_name_Hall '-F 4 2 3'
_cell_length_a 10.443
_cell_length_b 10.443
_cell_length_c 10.443
_cell_angle_alpha 90.00
_cell_angle_beta 90.00
_cell_angle_gamma 90.00
loop_
_atom_site_label
_atom_site_type_symbol
_atom_site_fract_x
_atom_site_fract_y
_atom_site_fract_z
Co1 Co 0.000 0.000 0.000
Co2 Co 0.000 0.167 0.167
Co3 Co 0.120 0.120 0.380
Ge1 Ge 0.250 0.250 0.250
B1 B 0.000 0.000 0.278
```